Arrangement one

# Pr6ErTl5 (PBE, relaxed)
data_Pr6ErTl5
_space_group_name_H-M_alt 'P 1'
_space_group_IT_number 1
_space_group_name_Hall 'P 1'
_cell_length_a 7.895
_cell_length_b 7.895
_cell_length_c 6.460
_cell_angle_alpha 98.43
_cell_angle_beta 98.43
_cell_angle_gamma 96.01
loop_
_atom_site_label
_atom_site_fract_x
_atom_site_fract_y
_atom_site_fract_z
Pr1 0.041 0.404 0.729
Pr2 0.215 0.215 0.208
Pr3 0.404 0.041 0.729
Pr4 0.596 0.959 0.271
Pr5 0.785 0.785 0.792
Pr6 0.959 0.596 0.271
Er1 0.500 0.500 0.000
Tl1 0.000 0.000 0.500
Tl2 0.215 0.785 0.000
Tl3 0.368 0.632 0.500
Tl4 0.632 0.368 0.500
Tl5 0.785 0.215 0.000
# - Calculated density: 8.6 g/cm3
# - DOS(E_F): 1.01 states/eV/atom
# - Size of the total moment: 0.00 μB/f.u.

***

Arrangement two

# Pr6ErTl5 (PBE, relaxed)
data_Pr6ErTl5
_space_group_name_H-M_alt 'P 1'
_space_group_IT_number 1
_space_group_name_Hall 'P 1'
_cell_length_a 9.414
_cell_length_b 9.414
_cell_length_c 9.414
_cell_angle_alpha 148.33
_cell_angle_beta 121.63
_cell_angle_gamma 67.94
loop_
_atom_site_label
_atom_site_fract_x
_atom_site_fract_y
_atom_site_fract_z
Pr1 0.069 0.329 0.740
Pr2 0.235 0.000 0.235
Pr3 0.411 0.671 0.740
Pr4 0.589 0.329 0.260
Pr5 0.765 0.000 0.765
Pr6 0.931 0.671 0.260
Er1 0.500 0.500 0.000
Tl1 0.000 0.500 0.500
Tl2 0.172 0.172 0.000
Tl3 0.350 0.850 0.500
Tl4 0.650 0.150 0.500
Tl5 0.828 0.828 0.000
# - Calculated density: 9.2 g/cm3
# - DOS(E_F): 1.07 states/eV/atom
# - Size of the total moment: 0.00 μB/f.u.

***

We find arrangement two to be the most stable, with the next structure 0.115 eV/atom higher.

***

Arrangement one

# Pr3Er2Tl2 (PBE, relaxed)
data_Pr3Er2Tl2
_space_group_name_H-M_alt 'P 1'
_space_group_IT_number 1
_space_group_name_Hall 'P 1'
_cell_length_a 5.077
_cell_length_b 23.901
_cell_length_c 3.595
_cell_angle_alpha 90.00
_cell_angle_beta 90.00
_cell_angle_gamma 90.00
loop_
_atom_site_label
_atom_site_fract_x
_atom_site_fract_y
_atom_site_fract_z
Pr1 0.000 0.000 0.000
Pr2 0.000 0.146 0.000
Pr3 0.000 0.854 0.000
Pr4 0.500 0.354 0.000
Pr5 0.500 0.500 0.000
Pr6 0.500 0.646 0.000
Er1 0.000 0.287 0.500
Er2 0.000 0.713 0.500
Er3 0.500 0.213 0.500
Er4 0.500 0.787 0.500
Tl1 0.000 0.427 0.500
Tl2 0.000 0.573 0.500
Tl3 0.500 0.073 0.500
Tl4 0.500 0.927 0.500
# - Calculated density: 8.9 g/cm3
# - DOS(E_F): 1.12 states/eV/atom
# - Size of the total moment: 0.00 μB/f.u.

***

Arrangement two

# Pr3Er2Tl2 (PBE, relaxed)
data_Pr3Er2Tl2
_space_group_name_H-M_alt 'P 1'
_space_group_IT_number 1
_space_group_name_Hall 'P 1'
_cell_length_a 9.616
_cell_length_b 5.562
_cell_length_c 8.754
_cell_angle_alpha 90.00
_cell_angle_beta 111.57
_cell_angle_gamma 90.00
loop_
_atom_site_label
_atom_site_fract_x
_atom_site_fract_y
_atom_site_fract_z
Pr1 0.000 0.000 0.000
Pr2 0.158 0.000 0.473
Pr3 0.342 0.500 0.527
Pr4 0.500 0.500 0.000
Pr5 0.658 0.500 0.473
Pr6 0.842 0.000 0.527
Er1 0.073 0.500 0.718
Er2 0.427 0.000 0.282
Er3 0.573 0.000 0.718
Er4 0.927 0.500 0.282
Tl1 0.212 0.500 0.136
Tl2 0.288 0.000 0.864
Tl3 0.712 0.000 0.136
Tl4 0.788 0.500 0.864
# - Calculated density: 8.9 g/cm3
# - DOS(E_F): 1.03 states/eV/atom
# - Size of the total moment: 0.00 μB/f.u.

***

We find arrangement two to be the most stable, with the next structure 0.077 eV/atom higher.

***

Arrangement one

# PrErTlZn (PBE, relaxed)
data_PrErTlZn
_space_group_name_H-M_alt 'P 1'
_space_group_IT_number 1
_space_group_name_Hall 'P 1'
_cell_length_a 3.709
_cell_length_b 3.709
_cell_length_c 7.611
_cell_angle_alpha 90.00
_cell_angle_beta 90.00
_cell_angle_gamma 90.00
loop_
_atom_site_label
_atom_site_fract_x
_atom_site_fract_y
_atom_site_fract_z
Pr1 0.000 0.000 0.000
Er1 0.000 0.000 0.544
Tl1 0.500 0.500 0.290
Zn1 0.500 0.500 0.749
# - Calculated density: 9.2 g/cm3
# - DOS(E_F): 0.91 states/eV/atom
# - Size of the total moment: 0.00 μB/f.u.

***

Arrangement two

# PrErTlZn (PBE, relaxed)
data_PrErTlZn
_space_group_name_H-M_alt 'P 1'
_space_group_IT_number 1
_space_group_name_Hall 'P 1'
_cell_length_a 7.522
_cell_length_b 7.522
_cell_length_c 7.522
_cell_angle_alpha 90.00
_cell_angle_beta 90.00
_cell_angle_gamma 90.00
loop_
_atom_site_label
_atom_site_fract_x
_atom_site_fract_y
_atom_site_fract_z
Pr1 0.000 0.000 0.000
Pr2 0.000 0.500 0.500
Pr3 0.500 0.000 0.500
Pr4 0.500 0.500 0.000
Er1 0.000 0.000 0.500
Er2 0.000 0.500 0.000
Er3 0.500 0.000 0.000
Er4 0.500 0.500 0.500
Tl1 0.250 0.250 0.250
Tl2 0.250 0.750 0.750
Tl3 0.750 0.250 0.750
Tl4 0.750 0.750 0.250
Zn1 0.250 0.250 0.750
Zn2 0.250 0.750 0.250
Zn3 0.750 0.250 0.250
Zn4 0.750 0.750 0.750
# - Calculated density: 9.0 g/cm3
# - DOS(E_F): 1.09 states/eV/atom
# - Size of the total moment: 0.00 μB/f.u.

***

We find arrangement one to be the most stable, with the next structure 0.034 eV/atom higher.

***

Arrangement one

# Pr2ErTm2 (PBE, relaxed)
data_Pr2ErTm2
_space_group_name_H-M_alt 'P 1'
_space_group_IT_number 1
_space_group_name_Hall 'P 1'
_cell_length_a 6.191
_cell_length_b 3.575
_cell_length_c 14.663
_cell_angle_alpha 90.00
_cell_angle_beta 90.07
_cell_angle_gamma 90.00
loop_
_atom_site_label
_atom_site_fract_x
_atom_site_fract_y
_atom_site_fract_z
Pr1 0.168 0.000 0.392
Pr2 0.332 0.500 0.608
Pr3 0.668 0.500 0.392
Pr4 0.832 0.000 0.608
Er1 0.000 0.500 0.000
Er2 0.500 0.000 0.000
Tm1 0.166 0.000 0.808
Tm2 0.334 0.500 0.192
Tm3 0.666 0.500 0.808
Tm4 0.834 0.000 0.192
# - Calculated density: 8.1 g/cm3
# - DOS(E_F): 1.32 states/eV/atom
# - Size of the total moment: 0.00 μB/f.u.

***

Arrangement two

# Pr2ErTm2 (PBE, relaxed)
data_Pr2ErTm2
_space_group_name_H-M_alt 'P 1'
_space_group_IT_number 1
_space_group_name_Hall 'P 1'
_cell_length_a 16.186
_cell_length_b 16.186
_cell_length_c 16.186
_cell_angle_alpha 167.01
_cell_angle_beta 159.74
_cell_angle_gamma 24.14
loop_
_atom_site_label
_atom_site_fract_x
_atom_site_fract_y
_atom_site_fract_z
Pr1 0.273 0.023 0.250
Pr2 0.374 0.124 0.250
Pr3 0.626 0.876 0.750
Pr4 0.727 0.977 0.750
Er1 0.168 0.418 0.750
Er2 0.832 0.582 0.250
Tm1 0.052 0.802 0.250
Tm2 0.460 0.710 0.750
Tm3 0.540 0.290 0.250
Tm4 0.948 0.198 0.750
# - Calculated density: 7.9 g/cm3
# - DOS(E_F): 1.30 states/eV/atom
# - Size of the total moment: 0.00 μB/f.u.

***

We find arrangement one to be the most stable, with the next structure 0.101 eV/atom higher.

***

Arrangement one

# PrErTm2 (PBE, relaxed)
data_PrErTm2
_space_group_name_H-M_alt 'P 1'
_space_group_IT_number 1
_space_group_name_Hall 'P 1'
_cell_length_a 3.567
_cell_length_b 3.567
_cell_length_c 34.468
_cell_angle_alpha 90.00
_cell_angle_beta 90.00
_cell_angle_gamma 120.00
loop_
_atom_site_label
_atom_site_fract_x
_atom_site_fract_y
_atom_site_fract_z
Pr1 0.000 0.000 0.000
Pr2 0.333 0.667 0.667
Pr3 0.667 0.333 0.333
Er1 0.000 0.000 0.166
Er2 0.333 0.667 0.832
Er3 0.667 0.333 0.499
Tm1 0.000 0.000 0.580
Tm2 0.000 0.000 0.751
Tm3 0.333 0.667 0.247
Tm4 0.333 0.667 0.418
Tm5 0.667 0.333 0.085
Tm6 0.667 0.333 0.914
# - Calculated density: 8.5 g/cm3
# - DOS(E_F): 1.38 states/eV/atom
# - Size of the total moment: 0.00 μB/f.u.

***

Arrangement two

# PrErTm2 (PBE, relaxed)
data_PrErTm2
_space_group_name_H-M_alt 'P 1'
_space_group_IT_number 1
_space_group_name_Hall 'P 1'
_cell_length_a 4.076
_cell_length_b 4.076
_cell_length_c 7.741
_cell_angle_alpha 90.00
_cell_angle_beta 90.00
_cell_angle_gamma 90.00
loop_
_atom_site_label
_atom_site_fract_x
_atom_site_fract_y
_atom_site_fract_z
Pr1 0.000 0.000 0.000
Er1 0.000 0.000 0.500
Tm1 0.500 0.500 0.263
Tm2 0.500 0.500 0.737
# - Calculated density: 8.3 g/cm3
# - DOS(E_F): 1.81 states/eV/atom
# - Size of the total moment: 0.00 μB/f.u.

***

Arrangement three

# PrErTm2 (PBE, relaxed)
data_PrErTm2
_space_group_name_H-M_alt 'P 1'
_space_group_IT_number 1
_space_group_name_Hall 'P 1'
_cell_length_a 6.927
_cell_length_b 6.884
_cell_length_c 11.041
_cell_angle_alpha 90.00
_cell_angle_beta 90.06
_cell_angle_gamma 90.00
loop_
_atom_site_label
_atom_site_fract_x
_atom_site_fract_y
_atom_site_fract_z
Pr1 0.126 0.128 0.389
Pr2 0.126 0.872 0.889
Pr3 0.874 0.128 0.111
Pr4 0.874 0.872 0.611
Er1 0.377 0.378 0.613
Er2 0.377 0.622 0.113
Er3 0.623 0.378 0.887
Er4 0.623 0.622 0.387
Tm1 0.126 0.375 0.887
Tm2 0.126 0.625 0.387
Tm3 0.376 0.125 0.112
Tm4 0.376 0.875 0.612
Tm5 0.624 0.125 0.388
Tm6 0.624 0.875 0.888
Tm7 0.874 0.375 0.613
Tm8 0.874 0.625 0.113
# - Calculated density: 8.2 g/cm3
# - DOS(E_F): 1.68 states/eV/atom
# - Size of the total moment: 0.00 μB/f.u.

***

We find arrangement one to be the most stable, with the next structure 0.080 eV/atom higher.

***

Arrangement one

# PrErTm2 (PBE, relaxed)
data_PrErTm2
_space_group_name_H-M_alt 'P 1'
_space_group_IT_number 1
_space_group_name_Hall 'P 1'
_cell_length_a 5.028
_cell_length_b 5.028
_cell_length_c 5.005
_cell_angle_alpha 90.00
_cell_angle_beta 90.00
_cell_angle_gamma 90.00
loop_
_atom_site_label
_atom_site_fract_x
_atom_site_fract_y
_atom_site_fract_z
Pr1 0.000 0.000 0.000
Er1 0.500 0.500 0.000
Tm1 0.000 0.500 0.500
Tm2 0.500 0.000 0.500
# - Calculated density: 8.5 g/cm3
# - DOS(E_F): 1.51 states/eV/atom
# - Size of the total moment: 0.00 μB/f.u.

***

Arrangement two

# PrErTm2 (PBE, relaxed)
data_PrErTm2
_space_group_name_H-M_alt 'P 1'
_space_group_IT_number 1
_space_group_name_Hall 'P 1'
_cell_length_a 3.634
_cell_length_b 11.305
_cell_length_c 6.241
_cell_angle_alpha 90.00
_cell_angle_beta 90.00
_cell_angle_gamma 90.00
loop_
_atom_site_label
_atom_site_fract_x
_atom_site_fract_y
_atom_site_fract_z
Pr1 0.000 0.000 0.000
Pr2 0.500 0.500 0.500
Er1 0.000 0.500 0.004
Er2 0.500 0.000 0.504
Tm1 0.000 0.247 0.339
Tm2 0.000 0.753 0.339
Tm3 0.500 0.253 0.839
Tm4 0.500 0.747 0.839
# - Calculated density: 8.4 g/cm3
# - DOS(E_F): 1.65 states/eV/atom
# - Size of the total moment: 0.00 μB/f.u.

***

We find arrangement two to be the most stable, with the next structure 0.010 eV/atom higher.